Computed, not measured: ErGaPt after structural relaxation at the PBE-GGA level of DFT.

The structure belongs to space group Pnma (No. 62); the cell edges are 6.8352, 4.4136 and 7.6891 Å and the angles 90.00°, 90.00° and 90.00°. Symmetry generates all atoms from Er at (0.0158, 0.2500, 0.1978), Ga at (0.1714, 0.2500, 0.5747) and Pt at (0.2272, 0.7500, 0.4012).

The calculation puts the total energy at -68.04 eV per cell.

***

Computed, not measured: ErGa2Pt2 after structural relaxation at the PBE-GGA level of DFT.

The structure belongs to space group I4/mmm (No. 139); the cell edges are 4.1270, 4.1270 and 10.6680 Å and the angles 90.00°, 90.00° and 90.00°. Symmetry generates all atoms from Er at (0.0000, 0.0000, 0.0000), Ga at (0.0000, 0.0000, 0.3862) and Pt at (0.0000, 0.5000, 0.2500).

The calculation puts the total energy at -53.98 eV per cell.

***

Computed, not measured: ErScGa4Pt2 after structural relaxation at the PBE-GGA level of DFT.

The structure belongs to space group Amm2 (No. 38); the cell edges are 6.6564, 4.2948 and 9.9632 Å and the angles 90.00°, 90.00° and 90.00°. Symmetry generates all atoms from Er at (0.0000, 0.0000, 0.0000), Sc at (0.5000, 0.0000, 0.8334), Ga at (0.2037, 0.0000, 0.2897), Ga at (0.3039, 0.0000, 0.5479), Pt at (0.0000, 0.0000, 0.7116) and Pt at (0.5000, 0.0000, 0.1208).

The calculation puts the total energy at -84.62 eV per cell.